Record 1
## La2Pm3Zn2 (GGA-PBE)

Data for a relaxed La2Pm3Zn2 crystal.

Cell lengths 4.836, 6.439, 8.271 Å; angles 114.30, 90.00, 112.05 degrees
Fractional positions:
La 0.140 0.279 0.799
La 0.860 0.721 0.201
Zn 0.140 0.280 0.192
Zn 0.860 0.720 0.808
Pm 0.364 0.728 0.528
Pm 0.636 0.272 0.472
Pm 0.500 0.000 0.000

energy relative to the elements: -0.090 eV/atom
size of the total moment: 0.00 μB/f.u.
V: 214 Å³/cell
DOS(E_F): 9.101 states/eV/f.u.
total DFT energy (no corrections): -27.284 eV/f.u.

---

Record 2
## LaPm5Zn6 (GGA-PBE)

Data for a relaxed LaPm5Zn6 crystal.

Cell lengths 5.189, 7.362, 8.222 Å; angles 90.00, 71.60, 90.00 degrees
Fractional positions:
Pm 0.333 0.000 0.334
Pm 0.000 0.500 0.000
Pm 0.335 0.500 0.330
Pm 0.667 0.000 0.666
Pm 0.665 0.500 0.670
Zn 0.831 0.746 0.338
Zn 0.169 0.254 0.662
Zn 0.500 0.255 0.000
Zn 0.169 0.746 0.662
Zn 0.500 0.745 0.000
Zn 0.831 0.254 0.338
La 0.000 0.000 0.000

energy relative to the elements: -0.313 eV/atom
size of the total moment: 0.00 μB/f.u.
V: 298 Å³/cell
DOS(E_F): 13.811 states/eV/f.u.
total DFT energy (no corrections): -40.076 eV/f.u.

---

Record 3
## La5PmZn6 (GGA-PBE)

Data for a relaxed La5PmZn6 crystal.

Cell lengths 5.288, 7.499, 8.374 Å; angles 90.00, 71.60, 90.00 degrees
Fractional positions:
Pm 0.000 0.000 0.000
Zn 0.500 0.244 0.000
Zn 0.836 0.754 0.328
Zn 0.500 0.756 0.000
Zn 0.836 0.246 0.328
Zn 0.164 0.246 0.672
Zn 0.164 0.754 0.672
La 0.669 0.500 0.663
La 0.000 0.500 0.000
La 0.667 0.000 0.666
La 0.333 0.000 0.334
La 0.331 0.500 0.337

energy relative to the elements: -0.312 eV/atom
size of the total moment: 0.00 μB/f.u.
V: 315 Å³/cell
DOS(E_F): 13.872 states/eV/f.u.
total DFT energy (no corrections): -40.775 eV/f.u.

---

Record 4
## LaPmZn2 (GGA-PBE)

Data for a relaxed LaPmZn2 crystal.

Cell lengths 5.244, 5.244, 5.244 Å; angles 60.00, 60.00, 60.00 degrees
Fractional positions:
Pm 0.250 0.250 0.250
Zn 0.500 0.500 0.500
Zn 0.000 0.000 0.000
La 0.750 0.750 0.750

energy relative to the elements: -0.310 eV/atom
size of the total moment: 0.00 μB/f.u.
V: 102 Å³/cell
DOS(E_F): 4.946 states/eV/f.u.
total DFT energy (no corrections): -13.465 eV/f.u.

---

Record 5
## LaPmZn4 (GGA-PBE)

Data for a relaxed LaPmZn4 crystal.

Cell lengths 4.623, 5.854, 5.854 Å; angles 75.81, 66.74, 66.74 degrees
Fractional positions:
Pm 0.000 0.000 0.000
Zn 0.667 0.585 0.081
Zn 0.333 0.919 0.415
Zn 0.667 0.081 0.585
Zn 0.333 0.415 0.919
La 0.000 0.500 0.500

energy relative to the elements: -0.347 eV/atom
size of the total moment: 0.00 μB/f.u.
V: 133 Å³/cell
DOS(E_F): 5.902 states/eV/f.u.
total DFT energy (no corrections): -16.858 eV/f.u.

---

Record 6
## La2PmZn9 (GGA-PBE)

Data for a relaxed La2PmZn9 crystal.

Cell lengths 5.547, 5.547, 9.408 Å; angles 72.86, 72.86, 60.00 degrees
Fractional positions:
Zn 0.077 0.581 0.762
Zn 0.665 0.665 0.005
Zn 0.335 0.335 0.995
Zn 0.500 0.500 0.500
Zn 0.419 0.923 0.238
Zn 0.923 0.419 0.238
Zn 0.581 0.077 0.762
Zn 0.419 0.419 0.238
Zn 0.581 0.581 0.762
Pm 0.000 0.000 0.000
La 0.143 0.143 0.570
La 0.857 0.857 0.430

energy relative to the elements: -0.295 eV/atom
size of the total moment: 0.00 μB/f.u.
V: 236 Å³/cell
DOS(E_F): 6.904 states/eV/f.u.
total DFT energy (no corrections): -29.614 eV/f.u.

---

Record 7
## La3Pm2Zn2 (GGA-PBE)

Data for a relaxed La3Pm2Zn2 crystal.

Cell lengths 3.863, 6.765, 9.615 Å; angles 114.63, 90.00, 106.59 degrees
Fractional positions:
Zn 0.177 0.353 0.232
Zn 0.823 0.647 0.768
La 0.605 0.209 0.437
La 0.395 0.791 0.563
La 0.500 0.000 0.000
Pm 0.159 0.319 0.823
Pm 0.841 0.681 0.177

energy relative to the elements: -0.130 eV/atom
size of the total moment: 0.00 μB/f.u.
V: 217 Å³/cell
DOS(E_F): 9.127 states/eV/f.u.
total DFT energy (no corrections): -27.740 eV/f.u.

---

Record 8
## LaPm2Zn2 (GGA-PBE)

Data for a relaxed LaPm2Zn2 crystal.

Cell lengths 3.739, 5.354, 13.778 Å; angles 90.00, 97.81, 90.00 degrees
Fractional positions:
Pm 0.953 0.250 0.906
Pm 0.768 0.250 0.536
Pm 0.047 0.750 0.094
Pm 0.232 0.750 0.464
La 0.858 0.750 0.716
La 0.142 0.250 0.284
Zn 0.641 0.750 0.280
Zn 0.546 0.250 0.092
Zn 0.359 0.250 0.720
Zn 0.454 0.750 0.908

energy relative to the elements: -0.242 eV/atom
size of the total moment: 0.00 μB/f.u.
V: 273 Å³/cell
DOS(E_F): 5.839 states/eV/f.u.
total DFT energy (no corrections): -18.185 eV/f.u.

---

Record 9
## LaPm2Zn (GGA-PBE)

Data for a relaxed LaPm2Zn crystal.

Cell lengths 4.925, 4.874, 4.874 Å; angles 90.00, 90.00, 90.00 degrees
Fractional positions:
Pm 0.000 0.500 0.000
Pm 0.000 0.000 0.500
Zn 0.500 0.000 0.000
La 0.500 0.500 0.500

energy relative to the elements: -0.040 eV/atom
size of the total moment: 0.00 μB/f.u.
V: 117 Å³/cell
DOS(E_F): 6.270 states/eV/f.u.
total DFT energy (no corrections): -15.864 eV/f.u.

---

Record 10
## La6Pm2Zn (GGA-PBE)

Data for a relaxed La6Pm2Zn crystal.

Cell lengths 3.757, 9.760, 9.756 Å; angles 120.02, 90.00, 90.00 degrees
Fractional positions:
La 0.000 0.736 0.736
La 0.500 0.625 0.000
La 0.000 0.000 0.264
La 0.500 0.000 0.625
La 0.000 0.264 0.000
La 0.500 0.375 0.375
Pm 0.000 0.667 0.334
Pm 0.000 0.333 0.666
Zn 0.500 0.000 0.000

energy relative to the elements: -0.046 eV/atom
size of the total moment: 0.00 μB/f.u.
V: 310 Å³/cell
DOS(E_F): 15.212 states/eV/f.u.
total DFT energy (no corrections): -40.754 eV/f.u.

---

Record 11
## La4Pm3Zn (GGA-PBE)

Data for a relaxed La4Pm3Zn crystal.

Cell lengths 3.747, 3.747, 19.204 Å; angles 90.00, 90.00, 90.00 degrees
Fractional positions:
La 0.000 0.000 0.366
La 0.000 0.000 0.634
La 0.000 0.000 0.903
La 0.000 0.000 0.097
Pm 0.500 0.500 0.766
Pm 0.500 0.500 0.234
Pm 0.500 0.500 0.500
Zn 0.500 0.500 0.000

energy relative to the elements: -0.064 eV/atom
size of the total moment: 0.00 μB/f.u.
V: 270 Å³/cell
DOS(E_F): 12.109 states/eV/f.u.
total DFT energy (no corrections): -35.748 eV/f.u.

---

Record 12
## LaPm2Zn (GGA-PBE)

Data for a relaxed LaPm2Zn crystal.

Cell lengths 5.127, 5.127, 6.353 Å; angles 66.20, 66.20, 60.00 degrees
Fractional positions:
Pm 0.044 0.044 0.867
Pm 0.274 0.274 0.177
La 0.488 0.488 0.535
Zn 0.693 0.693 0.921

energy relative to the elements: 0.081 eV/atom
size of the total moment: 0.00 μB/f.u.
V: 128 Å³/cell
DOS(E_F): 5.637 states/eV/f.u.
total DFT energy (no corrections): -15.380 eV/f.u.